# Tc3SbF | Alexandria via LeMat-Bulk | GGA-PBEsol | relaxed
data_Tc3SbF
_cell_length_a 4.186
_cell_length_b 4.186
_cell_length_c 4.186
_cell_angle_alpha 90.00
_cell_angle_beta 90.00
_cell_angle_gamma 90.00
_space_group_name_H-M_alt 'P 1'
_space_group_IT_number 1
_space_group_name_Hall 'P 1'
loop_
_atom_site_label
_atom_site_type_symbol
_atom_site_fract_x
_atom_site_fract_y
_atom_site_fract_z
Tc1 Tc 0.000 0.000 0.500
Tc2 Tc 0.000 0.500 0.000
Tc3 Tc 0.500 0.000 0.000
Sb1 Sb 0.500 0.500 0.500
F1 F 0.000 0.000 0.000
# uncorrected formation energy	81.9	kJ per mole of atoms
# total magnetization	1.44	μB per cell